1.
Entry from the Alexandria database: a relaxed KHgBi crystal (PBE).

Computed properties:
- DOS(E_F): 2.6 states/eV/cell
- Calculated formation energy: -0.56 eV/f.u.
- Total DFT energy (no corrections): -1.95 eV/atom
- M_tot: 0.0 μB/cell

Lattice parameters (Å, degrees): 3.539 3.539 15.548 90.00 90.00 90.00
Space group I4mm (No. 107)
Symmetry-distinct sites (fractional):
K1 0.000 0.000 0.000 [2 per cell]
Hg1 0.000 0.000 0.658 [2 per cell]
Bi1 0.000 0.000 0.316 [2 per cell]

2.
Entry from the Alexandria database: a relaxed TlGe2BS6 crystal (PBE).

Computed properties:
- Uncorrected formation energy: -0.2043 eV per atom
- Total DFT energy (no corrections): -4.51 eV/atom
- M_tot: 0.0 μB/cell

Lattice parameters (Å, degrees): 12.971 12.695 6.586 90.00 117.95 90.00
Space group C2/c (No. 15)
Symmetry-distinct sites (fractional):
Tl1 0.000 0.107 0.250 [4 per cell]
Ge1 0.207 0.412 0.160 [8 per cell]
B1 0.000 0.248 0.750 [4 per cell]
S1 0.037 0.325 0.021 [8 per cell]
S2 0.115 0.132 0.814 [8 per cell]
S3 0.212 0.426 0.516 [8 per cell]

3.
Entry from the Alexandria database: a relaxed AlCu2Ni crystal (PBE).

Computed properties:
- DOS(E_F): 3.7 states/eV/cell
- Calculated formation energy: -0.69 eV/f.u.
- Total DFT energy (no corrections): -4.60 eV/atom
- M_tot: 0.0 μB/cell

Lattice parameters (Å, degrees): 5.058 7.139 2.705 90.00 90.00 90.00
Space group Cmmm (No. 65)
Symmetry-distinct sites (fractional):
Al1 0.000 0.000 0.000 [2 per cell]
Cu1 0.250 0.250 0.500 [4 per cell]
Ni1 0.000 0.500 0.000 [2 per cell]